{
  "formula": "H2PtAu2",
  "functional": "PBE-GGA",
  "state": "optimized geometry",
  "lattice_angstrom": [[5.6494, 0.0000, 0.0000], [0.0000, 5.6494, 0.0000], [0.0000, 0.0000, 4.0268]],
  "species": ["Pt", "Pt", "H", "H", "H", "H", "Au", "Au", "Au", "Au"],
  "frac_coords": [[0.5000, 0.5000, 0.0000], [0.0000, 0.0000, 0.0000], [0.2493, 0.7493, 0.0000], [0.2507, 0.2493, 0.0000], [0.7507, 0.2507, 0.0000], [0.7493, 0.7507, 0.0000], [0.2505, 0.2495, 0.5000], [0.7495, 0.7505, 0.5000], [0.2495, 0.7495, 0.5000], [0.7505, 0.2505, 0.5000]],
  "total_energy_ev_per_cell": -37.80,
  "spacegroup": "P4/mbm (127)",
  "vol_a3_per_atom": 12.9,
  "dos_ef_per_ev_atom": 0.164
}